1.
This record from Alexandria via LeMat-Bulk describes a geometry-optimized LiMn2Tc structure. The functional is PBE.

Cell: 2.839 4.298 4.298 Å, 90.00 90.00 90.00°
Site moments in Bohr magnetons follow the coordinates.
Fractional coordinates of all 4 atoms:
Li: 0.500 0.000 0.500  -0.04
Mn: 0.000 0.000 0.000  2.60
Mn: 0.000 0.500 0.500  2.60
Tc: 0.500 0.500 0.000  -0.75

M_tot in μB/cell: 4.48
Crystal system: tetragonal
Energy relative to the elements in kJ per mole of atoms: 26.68
Space-group type: P4/mmm (123)

2.
This record from Alexandria via LeMat-Bulk describes a geometry-optimized LiMnTc2 structure. The functional is PBE.

Cell: 2.696 3.893 5.232 Å, 90.00 90.00 90.00°
Site moments in Bohr magnetons follow the coordinates.
Fractional coordinates of all 4 atoms:
Li: 0.000 0.000 0.511  -0.02
Mn: 0.500 0.500 0.738  2.89
Tc: 0.000 0.000 0.011  -0.24
Tc: 0.500 0.500 0.240  -0.21

M_tot in μB/cell: 2.48
Crystal system: orthorhombic
Energy relative to the elements in kJ per mole of atoms: 26.62
Space-group type: Pmm2 (25)
Excess energy over the best structure of this formula in the dataset in eV/atom: 0.085

3.
This record from Alexandria via LeMat-Bulk describes a geometry-optimized LiMn2Tc structure. The functional is PBE.

Cell: 8.923 8.923 8.923 Å, 16.82 16.82 16.82°
Site moments in Bohr magnetons follow the coordinates.
Fractional coordinates of all 4 atoms:
Li: 0.750 0.750 0.750  -0.03
Mn: 0.996 0.996 0.996  0.88
Mn: 0.504 0.504 0.504  0.88
Tc: 0.250 0.250 0.250  -0.36

M_tot in μB/cell: 1.34
Crystal system: trigonal
Energy relative to the elements in kJ per mole of atoms: 31.06
Space-group type: R-3m (166)

no.,final energy (eV/atom)
1,-7.378
2,-7.678
3,-7.333